No. 1
Hf2BeGaP at its PBEsol-relaxed geometry, computed with meta-GGA SCAN.

CIF file:
```
data_Hf2BeGaP
_chemical_formula_sum 'Hf2 Be1 Ga1 P1'
_cell_length_a 4.812
_cell_length_b 4.812
_cell_length_c 3.885
_cell_angle_alpha 90.00
_cell_angle_beta 90.00
_cell_angle_gamma 90.00
_symmetry_space_group_name_H-M 'P 4/m m m'
_symmetry_Int_Tables_number 123
_symmetry_space_group_name_Hall '-P 4 2'
loop_
_atom_site_label
_atom_site_type_symbol
_atom_site_fract_x
_atom_site_fract_y
_atom_site_fract_z
Hf1 Hf 0.000 0.500 0.000
Be1 Be 0.000 0.000 0.500
Ga1 Ga 0.500 0.500 0.500
P1 P 0.000 0.000 0.000
```

Fermi-level density of states   3.8 states/eV per cell
Crystal system   tetragonal
E   -157.04 eV per cell



No. 2
CdAgHg2 at its PBEsol-relaxed geometry, computed with meta-GGA SCAN.

CIF file:
```
data_CdAgHg2
_chemical_formula_sum 'Cd2 Ag2 Hg4'
_cell_length_a 4.296
_cell_length_b 4.296
_cell_length_c 8.629
_cell_angle_alpha 90.00
_cell_angle_beta 90.00
_cell_angle_gamma 90.00
_symmetry_space_group_name_H-M 'I -4 m 2'
_symmetry_Int_Tables_number 119
_symmetry_space_group_name_Hall 'I -4 -2'
loop_
_atom_site_label
_atom_site_type_symbol
_atom_site_fract_x
_atom_site_fract_y
_atom_site_fract_z
Cd1 Cd 0.000 0.000 0.000
Ag1 Ag 0.000 0.500 0.750
Hg1 Hg 0.000 0.000 0.500
Hg2 Hg 0.000 0.500 0.250
```

Fermi-level density of states   3.0 states/eV per cell
Crystal system   tetragonal
E   -395.83 eV per cell



No. 3
Sn3Bi at its PBEsol-relaxed geometry, computed with meta-GGA SCAN.

CIF file:
```
data_Sn3Bi
_chemical_formula_sum 'Sn12 Bi4'
_cell_length_a 7.565
_cell_length_b 7.565
_cell_length_c 7.565
_cell_angle_alpha 90.00
_cell_angle_beta 90.00
_cell_angle_gamma 90.00
_symmetry_space_group_name_H-M 'F m -3 m'
_symmetry_Int_Tables_number 225
_symmetry_space_group_name_Hall '-F 4 2 3'
loop_
_atom_site_label
_atom_site_type_symbol
_atom_site_fract_x
_atom_site_fract_y
_atom_site_fract_z
Sn1 Sn 0.000 0.000 0.000
Sn2 Sn 0.250 0.250 0.250
Bi1 Bi 0.000 0.000 0.500
```

Fermi-level density of states   6.2 states/eV per cell
Crystal system   cubic
E   -741.95 eV per cell



No. 4
CdPtAu2 at its PBEsol-relaxed geometry, computed with meta-GGA SCAN.

CIF file:
```
data_CdPtAu2
_chemical_formula_sum 'Cd3 Pt3 Au6'
_cell_length_a 2.8854
_cell_length_b 2.8854
_cell_length_c 28.0134
_cell_angle_alpha 90.00
_cell_angle_beta 90.00
_cell_angle_gamma 120.00
_symmetry_space_group_name_H-M 'R -3 m'
_symmetry_Int_Tables_number 166
_symmetry_space_group_name_Hall '-R 3 2"'
loop_
_atom_site_label
_atom_site_type_symbol
_atom_site_fract_x
_atom_site_fract_y
_atom_site_fract_z
Cd1 Cd 0.0000 0.0000 0.0000
Pt1 Pt 0.0000 0.0000 0.5000
Au1 Au 0.0000 0.0000 0.2484
```

Fermi-level density of states   4.5 states/eV per cell
Crystal system   trigonal
E   -716.91 eV per cell



No. 5
TlBI3 at its PBEsol-relaxed geometry, computed with meta-GGA SCAN.

CIF file:
```
data_TlBI3
_chemical_formula_sum 'Tl1 B1 I3'
_cell_length_a 5.220
_cell_length_b 5.220
_cell_length_c 5.220
_cell_angle_alpha 90.00
_cell_angle_beta 90.00
_cell_angle_gamma 90.00
_symmetry_space_group_name_H-M 'P m -3 m'
_symmetry_Int_Tables_number 221
_symmetry_space_group_name_Hall '-P 4 2 3'
loop_
_atom_site_label
_atom_site_type_symbol
_atom_site_fract_x
_atom_site_fract_y
_atom_site_fract_z
Tl1 Tl 0.000 0.000 0.000
B1 B 0.500 0.500 0.500
I1 I 0.000 0.500 0.500
```

Fermi-level density of states   1.4 states/eV per cell
Crystal system   cubic
ΔE_f (raw)   0.335 eV per atom
E   -188.34 eV per cell



No. 6
SrInAg2Hg at its PBEsol-relaxed geometry, computed with meta-GGA SCAN.

CIF file:
```
data_SrInAg2Hg
_chemical_formula_sum 'Sr1 In1 Ag2 Hg1'
_cell_length_a 5.631
_cell_length_b 5.631
_cell_length_c 5.872
_cell_angle_alpha 90.00
_cell_angle_beta 90.00
_cell_angle_gamma 90.00
_symmetry_space_group_name_H-M 'P 4/m m m'
_symmetry_Int_Tables_number 123
_symmetry_space_group_name_Hall '-P 4 2'
loop_
_atom_site_label
_atom_site_type_symbol
_atom_site_fract_x
_atom_site_fract_y
_atom_site_fract_z
Sr1 Sr 0.000 0.000 0.000
In1 In 0.500 0.500 0.500
Ag1 Ag 0.000 0.500 0.000
Hg1 Hg 0.000 0.000 0.500
```

Fermi-level density of states   1.7 states/eV per cell
Crystal system   tetragonal
E   -183.21 eV per cell



No. 7
Ta2AsRu at its PBEsol-relaxed geometry, computed with meta-GGA SCAN.

CIF file:
```
data_Ta2AsRu
_chemical_formula_sum 'Ta2 As1 Ru1'
_cell_length_a 2.957
_cell_length_b 2.957
_cell_length_c 7.292
_cell_angle_alpha 90.00
_cell_angle_beta 90.00
_cell_angle_gamma 90.00
_symmetry_space_group_name_H-M 'P 4/m m m'
_symmetry_Int_Tables_number 123
_symmetry_space_group_name_Hall '-P 4 2'
loop_
_atom_site_label
_atom_site_type_symbol
_atom_site_fract_x
_atom_site_fract_y
_atom_site_fract_z
Ta1 Ta 0.000 0.000 0.237
As1 As 0.500 0.500 0.500
Ru1 Ru 0.500 0.500 0.000
```

Fermi-level density of states   2.9 states/eV per cell
Crystal system   tetragonal
E   -188.96 eV per cell



No. 8
HfTiPS2 at its PBEsol-relaxed geometry, computed with meta-GGA SCAN.

CIF file:
```
data_HfTiPS2
_chemical_formula_sum 'Hf1 Ti1 P1 S2'
_cell_length_a 4.774
_cell_length_b 4.774
_cell_length_c 4.949
_cell_angle_alpha 90.00
_cell_angle_beta 90.00
_cell_angle_gamma 90.00
_symmetry_space_group_name_H-M 'P 4/m m m'
_symmetry_Int_Tables_number 123
_symmetry_space_group_name_Hall '-P 4 2'
loop_
_atom_site_label
_atom_site_type_symbol
_atom_site_fract_x
_atom_site_fract_y
_atom_site_fract_z
Hf1 Hf 0.000 0.000 0.000
Ti1 Ti 0.500 0.500 0.500
P1 P 0.000 0.000 0.500
S1 S 0.000 0.500 0.000
```

Fermi-level density of states   2.4 states/eV per cell
Crystal system   tetragonal
ΔE_f (raw)   -0.376 eV per atom
E   -110.24 eV per cell